# 1
# Pm2Pr4Hg3N2 (PBE-GGA, relaxed)
data_Pm2Pr4Hg3N2
_cell_length_a 4.9298
_cell_length_b 4.9298
_cell_length_c 25.0976
_cell_angle_alpha 90.00
_cell_angle_beta 90.00
_cell_angle_gamma 90.00
_symmetry_space_group_name_H-M 'I 4/m m m'
_symmetry_Int_Tables_number 139
_symmetry_space_group_name_Hall '-I 4 2'
loop_
_atom_site_label
_atom_site_type_symbol
_atom_site_fract_x
_atom_site_fract_y
_atom_site_fract_z
_atom_site_occupancy
Pm1 Pm 0.0000 0.0000 0.1990 1
Pr1 Pr 0.0000 0.5000 0.0871 1
Hg1 Hg 0.0000 0.0000 0.3247 1
Hg2 Hg 0.0000 0.0000 0.5000 1
N1 N 0.0000 0.0000 0.1097 1
# Density   8.08 Mg/m³
# Final energy   -4.84 eV/atom
# Raw formation energy   -640 meV per atom



# 2
# Hg2MoAu (PBE-GGA, relaxed)
data_Hg2MoAu
_cell_length_a 2.9107
_cell_length_b 4.1723
_cell_length_c 6.2685
_cell_angle_alpha 90.00
_cell_angle_beta 90.00
_cell_angle_gamma 90.00
_symmetry_space_group_name_H-M 'P m m m'
_symmetry_Int_Tables_number 47
loop_
_symmetry_equiv_pos_as_xyz
'x,y,z'
'-x,-y,-z'
'-x,-y,z'
'x,y,-z'
'x,-y,-z'
'-x,y,z'
'-x,y,-z'
'x,-y,z'
loop_
_atom_site_label
_atom_site_type_symbol
_atom_site_fract_x
_atom_site_fract_y
_atom_site_fract_z
_atom_site_occupancy
Hg1 Hg 0.0000 0.0000 0.2419 1
Mo1 Mo 0.5000 0.5000 0.0000 1
Au1 Au 0.5000 0.5000 0.5000 1
# Energy relative to the elements   11.90 kcal/mol of atoms
# Density   15.14 Mg/m³
# Final energy   -3.16 eV/atom



# 3
# LiBeSe2 (PBE-GGA, relaxed)
data_LiBeSe2
_cell_length_a 3.3576
_cell_length_b 6.4016
_cell_length_c 7.2401
_cell_angle_alpha 90.00
_cell_angle_beta 90.00
_cell_angle_gamma 90.00
_symmetry_space_group_name_H-M 'I m m m'
_symmetry_Int_Tables_number 71
_symmetry_space_group_name_Hall '-I 2 2'
loop_
_atom_site_label
_atom_site_type_symbol
_atom_site_fract_x
_atom_site_fract_y
_atom_site_fract_z
_atom_site_occupancy
Li1 Li 0.0000 0.0000 0.0000 1
Be1 Be 0.0000 0.0000 0.5000 1
Se1 Se 0.0000 0.5000 0.2118 1
# Density   3.71 Mg/m³
# Final energy   -3.55 eV/atom
# Raw formation energy   -403 meV per atom



# 4
# Cs5OsO6 (PBE-GGA, relaxed)
data_Cs5OsO6
_cell_length_a 7.0225
_cell_length_b 12.3016
_cell_length_c 6.7782
_cell_angle_alpha 90.00
_cell_angle_beta 109.82
_cell_angle_gamma 90.00
_symmetry_space_group_name_H-M 'C 1 2/m 1'
_symmetry_Int_Tables_number 12
loop_
_symmetry_equiv_pos_as_xyz
'x,y,z'
'-x,-y,-z'
'-x,y,-z'
'x,-y,z'
'x+1/2,y+1/2,z'
'-x+1/2,-y+1/2,-z'
'-x+1/2,y+1/2,-z'
'x+1/2,-y+1/2,z'
loop_
_atom_site_label
_atom_site_type_symbol
_atom_site_fract_x
_atom_site_fract_y
_atom_site_fract_z
_atom_site_occupancy
Cs1 Cs 0.0000 0.0000 0.0000 1
Cs2 Cs 0.0000 0.1682 0.5000 1
Cs3 Cs 0.0000 0.3417 0.0000 1
Os1 Os 0.0000 0.5000 0.5000 1
O1 O 0.1670 0.5000 0.3207 1
O2 O 0.1706 0.3893 0.6748 1
# Density   5.73 Mg/m³
# Final energy   -5.06 eV/atom
# Raw formation energy   -1294 meV per atom



# 5
# RbBa2ScCo (PBE-GGA, relaxed)
data_RbBa2ScCo
_cell_length_a 6.5022
_cell_length_b 6.5022
_cell_length_c 4.7887
_cell_angle_alpha 90.00
_cell_angle_beta 90.00
_cell_angle_gamma 90.00
_symmetry_space_group_name_H-M 'P 4/m m m'
_symmetry_Int_Tables_number 123
_symmetry_space_group_name_Hall '-P 4 2'
loop_
_atom_site_label
_atom_site_type_symbol
_atom_site_fract_x
_atom_site_fract_y
_atom_site_fract_z
_atom_site_occupancy
Rb1 Rb 0.0000 0.0000 0.0000 1
Ba1 Ba 0.0000 0.5000 0.0000 1
Sc1 Sc 0.5000 0.5000 0.5000 1
Co1 Co 0.0000 0.0000 0.5000 1
# Energy relative to the elements   29.77 kcal/mol of atoms
# Density   3.81 Mg/m³
# Final energy   -2.36 eV/atom



# 6
# SmHo2In2Hg2 (PBE-GGA, relaxed)
data_SmHo2In2Hg2
_cell_length_a 4.9478
_cell_length_b 4.9478
_cell_length_c 26.6071
_cell_angle_alpha 90.00
_cell_angle_beta 90.00
_cell_angle_gamma 120.00
_symmetry_space_group_name_H-M 'R -3 m'
_symmetry_Int_Tables_number 166
_symmetry_space_group_name_Hall '-R 3 2"'
loop_
_atom_site_label
_atom_site_type_symbol
_atom_site_fract_x
_atom_site_fract_y
_atom_site_fract_z
_atom_site_occupancy
Sm1 Sm 0.0000 0.0000 0.0000 1
Ho1 Ho 0.0000 0.0000 0.1321 1
In1 In 0.0000 0.0000 0.2672 1
Hg1 Hg 0.0000 0.0000 0.4299 1
# Energy relative to the elements   -6.53 kcal/mol of atoms
# Density   9.81 Mg/m³
# Final energy   -3.13 eV/atom



# 7
# CsPtI2N (PBE-GGA, relaxed)
data_CsPtI2N
_cell_length_a 6.2795
_cell_length_b 6.2795
_cell_length_c 3.7917
_cell_angle_alpha 90.00
_cell_angle_beta 90.00
_cell_angle_gamma 90.00
_symmetry_space_group_name_H-M 'P 4/m m m'
_symmetry_Int_Tables_number 123
_symmetry_space_group_name_Hall '-P 4 2'
loop_
_atom_site_label
_atom_site_type_symbol
_atom_site_fract_x
_atom_site_fract_y
_atom_site_fract_z
_atom_site_occupancy
Cs1 Cs 0.0000 0.0000 0.0000 1
Pt1 Pt 0.5000 0.5000 0.5000 1
I1 I 0.0000 0.5000 0.5000 1
N1 N 0.5000 0.5000 0.0000 1
# Density   6.62 Mg/m³
# Final energy   -3.75 eV/atom
# Raw formation energy   -85 meV per atom



# 8
# LaTiGe2Se (PBE-GGA, relaxed)
data_LaTiGe2Se
_cell_length_a 5.2408
_cell_length_b 5.2408
_cell_length_c 4.6444
_cell_angle_alpha 90.00
_cell_angle_beta 90.00
_cell_angle_gamma 90.00
_symmetry_space_group_name_H-M 'P 4/m m m'
_symmetry_Int_Tables_number 123
_symmetry_space_group_name_Hall '-P 4 2'
loop_
_atom_site_label
_atom_site_type_symbol
_atom_site_fract_x
_atom_site_fract_y
_atom_site_fract_z
_atom_site_occupancy
La1 La 0.0000 0.0000 0.0000 1
Ti1 Ti 0.5000 0.5000 0.0000 1
Ge1 Ge 0.0000 0.5000 0.5000 1
Se1 Se 0.5000 0.5000 0.5000 1
# Density   5.35 Mg/m³
# Final energy   -5.04 eV/atom
# Raw formation energy   65 meV per atom



# 9
# Al2ZnRh (PBE-GGA, relaxed)
data_Al2ZnRh
_cell_length_a 5.5170
_cell_length_b 5.5305
_cell_length_c 7.4922
_cell_angle_alpha 90.00
_cell_angle_beta 90.00
_cell_angle_gamma 90.00
_symmetry_space_group_name_H-M 'F m m m'
_symmetry_Int_Tables_number 69
_symmetry_space_group_name_Hall '-F 2 2'
loop_
_atom_site_label
_atom_site_type_symbol
_atom_site_fract_x
_atom_site_fract_y
_atom_site_fract_z
_atom_site_occupancy
Al1 Al 0.2500 0.2500 0.2500 1
Zn1 Zn 0.0000 0.0000 0.0000 1
Rh1 Rh 0.0000 0.0000 0.5000 1
# Energy relative to the elements   -12.11 kcal/mol of atoms
# Density   6.46 Mg/m³
# Final energy   -4.55 eV/atom



# 10
# IrSeBr2 (PBE-GGA, relaxed)
data_IrSeBr2
_cell_length_a 3.6605
_cell_length_b 3.6605
_cell_length_c 25.8255
_cell_angle_alpha 90.00
_cell_angle_beta 90.00
_cell_angle_gamma 120.00
_symmetry_space_group_name_H-M 'R 3 m'
_symmetry_Int_Tables_number 160
_symmetry_space_group_name_Hall 'R 3 -2"'
loop_
_atom_site_label
_atom_site_type_symbol
_atom_site_fract_x
_atom_site_fract_y
_atom_site_fract_z
_atom_site_occupancy
Ir1 Ir 0.0000 0.0000 0.0000 1
Se1 Se 0.0000 0.0000 0.7140 1
Br1 Br 0.0000 0.0000 0.2717 1
Br2 Br 0.0000 0.0000 0.4765 1
# Density   7.16 Mg/m³
# Final energy   -3.98 eV/atom
# Raw formation energy   -59 meV per atom



# 11
# Dy6TmTh4 (PBE-GGA, relaxed)
data_Dy6TmTh4
_cell_length_a 7.7821
_cell_length_b 7.7821
_cell_length_c 13.0446
_cell_angle_alpha 90.00
_cell_angle_beta 90.00
_cell_angle_gamma 90.00
_symmetry_space_group_name_H-M 'I -4 2 m'
_symmetry_Int_Tables_number 121
_symmetry_space_group_name_Hall 'I -4 2'
loop_
_atom_site_label
_atom_site_type_symbol
_atom_site_fract_x
_atom_site_fract_y
_atom_site_fract_z
_atom_site_occupancy
Dy1 Dy 0.0000 0.5000 0.0000 1
Dy2 Dy 0.2496 0.2496 0.1825 1
Tm1 Tm 0.0000 0.0000 0.0000 1
Th1 Th 0.1696 0.1696 0.4266 1
# Energy relative to the elements   11.58 kcal/mol of atoms
# Density   8.71 Mg/m³
# Final energy   -5.11 eV/atom



# 12
# Dy2ZrGa3Pt4 (PBE-GGA, relaxed)
data_Dy2ZrGa3Pt4
_cell_length_a 4.1060
_cell_length_b 4.1060
_cell_length_c 11.4954
_cell_angle_alpha 90.00
_cell_angle_beta 90.00
_cell_angle_gamma 90.00
_symmetry_space_group_name_H-M 'P -4 m 2'
_symmetry_Int_Tables_number 115
loop_
_symmetry_equiv_pos_as_xyz
'x,y,z'
'y,-x,-z'
'-x,-y,z'
'-y,x,-z'
'-x,y,z'
'-y,-x,-z'
'x,-y,z'
'y,x,-z'
loop_
_atom_site_label
_atom_site_type_symbol
_atom_site_fract_x
_atom_site_fract_y
_atom_site_fract_z
_atom_site_occupancy
Dy1 Dy 0.0000 0.5000 0.2344 1
Zr1 Zr 0.0000 0.0000 0.5000 1
Ga1 Ga 0.0000 0.5000 0.8692 1
Ga2 Ga 0.5000 0.5000 0.5000 1
Pt1 Pt 0.0000 0.0000 0.0000 1
Pt2 Pt 0.0000 0.5000 0.6542 1
Pt3 Pt 0.5000 0.5000 0.0000 1
# Energy relative to the elements   -22.29 kcal/mol of atoms
# Density   12.04 Mg/m³
# Final energy   -6.07 eV/atom



# 13
# SrY3Ir (PBE-GGA, relaxed)
data_SrY3Ir
_cell_length_a 8.1077
_cell_length_b 4.5804
_cell_length_c 8.7990
_cell_angle_alpha 90.00
_cell_angle_beta 103.08
_cell_angle_gamma 90.00
_symmetry_space_group_name_H-M 'P 1 21/m 1'
_symmetry_Int_Tables_number 11
loop_
_symmetry_equiv_pos_as_xyz
'x,y,z'
'-x,-y,-z'
'-x,y+1/2,-z'
'x,-y+1/2,z'
loop_
_atom_site_label
_atom_site_type_symbol
_atom_site_fract_x
_atom_site_fract_y
_atom_site_fract_z
_atom_site_occupancy
Sr1 Sr 0.1665 0.2500 0.1688 1
Y1 Y 0.0782 0.2500 0.6379 1
Y2 Y 0.3494 0.7500 0.8968 1
Y3 Y 0.4920 0.2500 0.6388 1
Ir1 Ir 0.2656 0.7500 0.5696 1
# Energy relative to the elements   -7.65 kcal/mol of atoms
# Density   5.70 Mg/m³
# Final energy   -6.32 eV/atom



# 14
# YSc4Cd (PBE-GGA, relaxed)
data_YSc4Cd
_cell_length_a 9.9019
_cell_length_b 5.6946
_cell_length_c 11.1000
_cell_angle_alpha 90.00
_cell_angle_beta 106.77
_cell_angle_gamma 90.00
_symmetry_space_group_name_H-M 'C 1 2/c 1'
_symmetry_Int_Tables_number 15
loop_
_symmetry_equiv_pos_as_xyz
'x,y,z'
'-x,-y,-z'
'-x,y,-z+1/2'
'x,-y,z+1/2'
'x+1/2,y+1/2,z'
'-x+1/2,-y+1/2,-z'
'-x+1/2,y+1/2,-z+1/2'
'x+1/2,-y+1/2,z+1/2'
loop_
_atom_site_label
_atom_site_type_symbol
_atom_site_fract_x
_atom_site_fract_y
_atom_site_fract_z
_atom_site_occupancy
Y1 Y 0.2500 0.2500 0.0000 1
Sc1 Sc 0.0829 0.2489 0.5073 1
Sc2 Sc 0.1610 0.0962 0.2507 1
Cd1 Cd 0.0000 0.4180 0.7500 1
# Energy relative to the elements   0.01 kcal/mol of atoms
# Density   4.22 Mg/m³
# Final energy   -5.45 eV/atom



# 15
# Ca4Tl5Ag2 (PBE-GGA, relaxed)
data_Ca4Tl5Ag2
_cell_length_a 8.0664
_cell_length_b 3.7292
_cell_length_c 10.2352
_cell_angle_alpha 90.00
_cell_angle_beta 94.45
_cell_angle_gamma 90.00
_symmetry_space_group_name_H-M 'P 1 2/m 1'
_symmetry_Int_Tables_number 10
loop_
_symmetry_equiv_pos_as_xyz
'x,y,z'
'-x,-y,-z'
'-x,y,-z'
'x,-y,z'
loop_
_atom_site_label
_atom_site_type_symbol
_atom_site_fract_x
_atom_site_fract_y
_atom_site_fract_z
_atom_site_occupancy
Ca1 Ca 0.1810 0.0000 0.3721 1
Ca2 Ca 0.2518 0.0000 0.9329 1
Tl1 Tl 0.1690 0.5000 0.6524 1
Tl2 Tl 0.4411 0.5000 0.1850 1
Tl3 Tl 0.5000 0.5000 0.5000 1
Ag1 Ag 0.0672 0.5000 0.1317 1
# Energy relative to the elements   -6.87 kcal/mol of atoms
# Density   7.56 Mg/m³
# Final energy   -2.62 eV/atom



# 16
# YCdFe (PBE-GGA, relaxed)
data_YCdFe
_cell_length_a 4.6438
_cell_length_b 4.6438
_cell_length_c 3.4938
_cell_angle_alpha 90.00
_cell_angle_beta 90.00
_cell_angle_gamma 120.00
_symmetry_space_group_name_H-M 'P -6 m 2'
_symmetry_Int_Tables_number 187
_symmetry_space_group_name_Hall 'P -6 2'
loop_
_atom_site_label
_atom_site_type_symbol
_atom_site_fract_x
_atom_site_fract_y
_atom_site_fract_z
_atom_site_occupancy
Y1 Y 0.0000 0.0000 0.0000 1
Cd1 Cd 0.3333 0.6667 0.5000 1
Fe1 Fe 0.6667 0.3333 0.5000 1
# Energy relative to the elements   3.11 kcal/mol of atoms
# Density   6.54 Mg/m³
# Final energy   -5.15 eV/atom



# 17
# Pr2Ho3TmAs6 (PBE-GGA, relaxed)
data_Pr2Ho3TmAs6
_cell_length_a 18.1529
_cell_length_b 4.1683
_cell_length_c 8.3298
_cell_angle_alpha 90.00
_cell_angle_beta 103.27
_cell_angle_gamma 90.00
_symmetry_space_group_name_H-M 'C 1 2/m 1'
_symmetry_Int_Tables_number 12
loop_
_symmetry_equiv_pos_as_xyz
'x,y,z'
'-x,-y,-z'
'-x,y,-z'
'x,-y,z'
'x+1/2,y+1/2,z'
'-x+1/2,-y+1/2,-z'
'-x+1/2,y+1/2,-z'
'x+1/2,-y+1/2,z'
loop_
_atom_site_label
_atom_site_type_symbol
_atom_site_fract_x
_atom_site_fract_y
_atom_site_fract_z
_atom_site_occupancy
Pr1 Pr 0.1653 0.0000 0.3314 1
Ho1 Ho 0.0000 0.5000 0.5000 1
Ho2 Ho 0.1674 0.0000 0.8343 1
Tm1 Tm 0.0000 0.5000 0.0000 1
As1 As 0.0036 0.0000 0.7539 1
As2 As 0.1639 0.5000 0.5905 1
As3 As 0.1655 0.5000 0.0737 1
# Energy relative to the elements   -34.57 kcal/mol of atoms
# Density   7.55 Mg/m³
# Final energy   -6.14 eV/atom



# 18
# HRhC2N (PBE-GGA, relaxed)
data_HRhC2N
_cell_length_a 2.7644
_cell_length_b 2.7644
_cell_length_c 6.9553
_cell_angle_alpha 90.00
_cell_angle_beta 90.00
_cell_angle_gamma 90.00
_symmetry_space_group_name_H-M 'P 4/m m m'
_symmetry_Int_Tables_number 123
_symmetry_space_group_name_Hall '-P 4 2'
loop_
_atom_site_label
_atom_site_type_symbol
_atom_site_fract_x
_atom_site_fract_y
_atom_site_fract_z
_atom_site_occupancy
H1 H 0.0000 0.0000 0.0000 1
Rh1 Rh 0.5000 0.5000 0.5000 1
C1 C 0.0000 0.5000 0.0000 1
N1 N 0.0000 0.0000 0.5000 1
# Density   4.43 Mg/m³
# Final energy   -5.29 eV/atom



# 19
# Al2HgRh (PBE-GGA, relaxed)
data_Al2HgRh
_cell_length_a 4.0989
_cell_length_b 4.0989
_cell_length_c 7.6510
_cell_angle_alpha 90.00
_cell_angle_beta 90.00
_cell_angle_gamma 90.00
_symmetry_space_group_name_H-M 'I 4/m m m'
_symmetry_Int_Tables_number 139
_symmetry_space_group_name_Hall '-I 4 2'
loop_
_atom_site_label
_atom_site_type_symbol
_atom_site_fract_x
_atom_site_fract_y
_atom_site_fract_z
_atom_site_occupancy
Al1 Al 0.0000 0.5000 0.2500 1
Hg1 Hg 0.0000 0.0000 0.0000 1
Rh1 Rh 0.0000 0.0000 0.5000 1
# Energy relative to the elements   -5.62 kcal/mol of atoms
# Density   9.24 Mg/m³
# Final energy   -4.03 eV/atom



# 20
# Mg2Ga5Cu3 (PBE-GGA, relaxed)
data_Mg2Ga5Cu3
_cell_length_a 4.0043
_cell_length_b 23.4757
_cell_length_c 7.0047
_cell_angle_alpha 90.00
_cell_angle_beta 90.00
_cell_angle_gamma 90.00
_symmetry_space_group_name_H-M 'C m c 21'
_symmetry_Int_Tables_number 36
loop_
_symmetry_equiv_pos_as_xyz
'x,y,z'
'-x,-y,z+1/2'
'-x,y,z'
'x,-y,z+1/2'
'x+1/2,y+1/2,z'
'-x+1/2,-y+1/2,z+1/2'
'-x+1/2,y+1/2,z'
'x+1/2,-y+1/2,z+1/2'
loop_
_atom_site_label
_atom_site_type_symbol
_atom_site_fract_x
_atom_site_fract_y
_atom_site_fract_z
_atom_site_occupancy
Mg1 Mg 0.0000 0.0235 0.0000 1
Mg2 Mg 0.0000 0.3199 0.8879 1
Ga1 Ga 0.0000 0.0972 0.6069 1
Ga2 Ga 0.0000 0.2041 0.6843 1
Ga3 Ga 0.0000 0.2083 0.0766 1
Ga4 Ga 0.0000 0.3784 0.4722 1
Ga5 Ga 0.0000 0.4425 0.8476 1
Cu1 Cu 0.0000 0.1147 0.2296 1
Cu2 Cu 0.0000 0.2667 0.3791 1
Cu3 Cu 0.0000 0.4583 0.2213 1
# Energy relative to the elements   -3.00 kcal/mol of atoms
# Density   5.93 Mg/m³
# Final energy   -3.19 eV/atom